(w)
Below is an optimized crystal structure of NaPm2Hg, with properties calculated at the GGA-PBE level.

Structure (CIF):
```
data_NaPm2Hg
_chemical_formula_sum 'Na1 Pm2 Hg1'
_cell_length_a 5.471
_cell_length_b 5.471
_cell_length_c 5.471
_cell_angle_alpha 60.00
_cell_angle_beta 60.00
_cell_angle_gamma 60.00
_space_group_name_H-M_alt 'P 1'
_space_group_IT_number 1
_space_group_name_Hall 'P 1'
loop_
_atom_site_label
_atom_site_type_symbol
_atom_site_fract_x
_atom_site_fract_y
_atom_site_fract_z
Na1 Na 0.500 0.500 0.500
Hg1 Hg 0.000 0.000 0.000
Pm1 Pm 0.250 0.250 0.250
Pm2 Pm 0.750 0.750 0.750
```



(x)
Below is an optimized crystal structure of NaPm2Hg, with properties calculated at the GGA-PBE level.

Structure (CIF):
```
data_NaPm2Hg
_chemical_formula_sum 'Na1 Pm2 Hg1'
_cell_length_a 3.591
_cell_length_b 3.591
_cell_length_c 12.332
_cell_angle_alpha 81.63
_cell_angle_beta 81.63
_cell_angle_gamma 60.00
_space_group_name_H-M_alt 'P 1'
_space_group_IT_number 1
_space_group_name_Hall 'P 1'
loop_
_atom_site_label
_atom_site_type_symbol
_atom_site_fract_x
_atom_site_fract_y
_atom_site_fract_z
Pm1 Pm 0.901 0.901 0.297
Na1 Na 0.000 0.000 0.000
Hg1 Hg 0.500 0.500 0.500
Pm2 Pm 0.099 0.099 0.703
```



Which is the most stable structure? (w) is the most stable.



(w)
Below is an optimized crystal structure of NaPm2Hg, with properties calculated at the GGA-PBE level.

Structure (CIF):
```
data_NaPm2Hg
_chemical_formula_sum 'Na1 Pm2 Hg1'
_cell_length_a 3.835
_cell_length_b 3.835
_cell_length_c 8.456
_cell_angle_alpha 90.00
_cell_angle_beta 90.00
_cell_angle_gamma 90.00
_space_group_name_H-M_alt 'P 1'
_space_group_IT_number 1
_space_group_name_Hall 'P 1'
loop_
_atom_site_label
_atom_site_type_symbol
_atom_site_fract_x
_atom_site_fract_y
_atom_site_fract_z
Hg1 Hg 0.500 0.500 0.000
Na1 Na 0.500 0.500 0.500
Pm1 Pm 0.000 0.000 0.213
Pm2 Pm 0.000 0.000 0.787
```



(x)
Below is an optimized crystal structure of NaPm2Hg, with properties calculated at the GGA-PBE level.

Structure (CIF):
```
data_NaPm2Hg
_chemical_formula_sum 'Na1 Pm2 Hg1'
_cell_length_a 4.026
_cell_length_b 5.374
_cell_length_c 5.374
_cell_angle_alpha 90.00
_cell_angle_beta 90.00
_cell_angle_gamma 90.00
_space_group_name_H-M_alt 'P 1'
_space_group_IT_number 1
_space_group_name_Hall 'P 1'
loop_
_atom_site_label
_atom_site_type_symbol
_atom_site_fract_x
_atom_site_fract_y
_atom_site_fract_z
Pm1 Pm 0.000 0.000 0.500
Na1 Na 0.500 0.000 0.000
Pm2 Pm 0.000 0.500 0.000
Hg1 Hg 0.500 0.500 0.500
```



Which is the most stable structure? (w) is the most stable.



(w)
Below is an optimized crystal structure of NaPrHg2, with properties calculated at the GGA-PBE level.

Structure (CIF):
```
data_NaPrHg2
_chemical_formula_sum 'Na1 Pr1 Hg2'
_cell_length_a 3.775
_cell_length_b 3.775
_cell_length_c 9.836
_cell_angle_alpha 78.94
_cell_angle_beta 78.94
_cell_angle_gamma 60.00
_space_group_name_H-M_alt 'P 1'
_space_group_IT_number 1
_space_group_name_Hall 'P 1'
loop_
_atom_site_label
_atom_site_type_symbol
_atom_site_fract_x
_atom_site_fract_y
_atom_site_fract_z
Hg1 Hg 0.084 0.084 0.747
Na1 Na 0.500 0.500 0.501
Hg2 Hg 0.249 0.249 0.253
Pr1 Pr 0.667 0.667 0.999
```



(x)
Below is an optimized crystal structure of NaPrHg2, with properties calculated at the GGA-PBE level.

Structure (CIF):
```
data_NaPrHg2
_chemical_formula_sum 'Na1 Pr1 Hg2'
_cell_length_a 5.307
_cell_length_b 5.307
_cell_length_c 5.307
_cell_angle_alpha 60.00
_cell_angle_beta 60.00
_cell_angle_gamma 60.00
_space_group_name_H-M_alt 'P 1'
_space_group_IT_number 1
_space_group_name_Hall 'P 1'
loop_
_atom_site_label
_atom_site_type_symbol
_atom_site_fract_x
_atom_site_fract_y
_atom_site_fract_z
Hg1 Hg 0.750 0.750 0.750
Pr1 Pr 0.000 0.000 0.000
Hg2 Hg 0.250 0.250 0.250
Na1 Na 0.500 0.500 0.500
```



(y)
Below is an optimized crystal structure of NaPrHg2, with properties calculated at the GGA-PBE level.

Structure (CIF):
```
data_NaPrHg2
_chemical_formula_sum 'Na1 Pr1 Hg2'
_cell_length_a 3.684
_cell_length_b 5.459
_cell_length_c 5.459
_cell_angle_alpha 90.00
_cell_angle_beta 90.00
_cell_angle_gamma 90.00
_space_group_name_H-M_alt 'P 1'
_space_group_IT_number 1
_space_group_name_Hall 'P 1'
loop_
_atom_site_label
_atom_site_type_symbol
_atom_site_fract_x
_atom_site_fract_y
_atom_site_fract_z
Na1 Na 0.500 0.000 0.000
Hg1 Hg 0.000 0.500 0.000
Hg2 Hg 0.000 0.000 0.500
Pr1 Pr 0.500 0.500 0.500
```



Which is the most stable structure? (x) is the most stable.



(w)
Below is an optimized crystal structure of NaPr2Hg4, with properties calculated at the GGA-PBE level.

Structure (CIF):
```
data_NaPr2Hg4
_chemical_formula_sum 'Na1 Pr2 Hg4'
_cell_length_a 5.232
_cell_length_b 5.232
_cell_length_c 9.082
_cell_angle_alpha 73.26
_cell_angle_beta 73.26
_cell_angle_gamma 60.00
_space_group_name_H-M_alt 'P 1'
_space_group_IT_number 1
_space_group_name_Hall 'P 1'
loop_
_atom_site_label
_atom_site_type_symbol
_atom_site_fract_x
_atom_site_fract_y
_atom_site_fract_z
Na1 Na 0.000 0.000 0.000
Pr1 Pr 0.249 0.249 0.252
Hg1 Hg 0.376 0.376 0.872
Hg2 Hg 0.624 0.624 0.128
Pr2 Pr 0.751 0.751 0.748
Hg3 Hg 0.874 0.874 0.378
Hg4 Hg 0.126 0.126 0.622
```



(x)
Below is an optimized crystal structure of NaPr2Hg4, with properties calculated at the GGA-PBE level.

Structure (CIF):
```
data_NaPr2Hg4
_chemical_formula_sum 'Na1 Pr2 Hg4'
_cell_length_a 5.331
_cell_length_b 5.331
_cell_length_c 8.777
_cell_angle_alpha 107.68
_cell_angle_beta 107.68
_cell_angle_gamma 90.00
_space_group_name_H-M_alt 'P 1'
_space_group_IT_number 1
_space_group_name_Hall 'P 1'
loop_
_atom_site_label
_atom_site_type_symbol
_atom_site_fract_x
_atom_site_fract_y
_atom_site_fract_z
Hg1 Hg 0.000 0.500 0.000
Na1 Na 0.000 0.000 0.000
Hg2 Hg 0.815 0.815 0.629
Pr1 Pr 0.617 0.617 0.234
Hg3 Hg 0.185 0.185 0.371
Pr2 Pr 0.383 0.383 0.766
Hg4 Hg 0.500 0.000 0.000
```



Which is the most stable structure? (w) is the most stable.